# 1
PmYAlIn (PBE-GGA, relaxed); energy relative to the lowest polymorph listed for this composition = 11.1 meV per atom; ΔE_f = -1.72 eV/f.u.; SG = F-43m, No. 216
1.0
-4.1582 1.0965 -3.0701
-3.7431 -3.6469 -0.7797
-4.7841 0.6219 2.1550
Pm Y In Al
1 1 1 1
Direct
0.2500 0.2500 0.2500
0.7500 0.7500 0.7500
0.0000 0.0000 0.0000
0.5000 0.5000 0.5000

***

# 2
PmYAlIn (PBE-GGA, relaxed); energy relative to the lowest polymorph listed for this composition = 0.0 meV per atom; ΔE_f = -1.76 eV/f.u.; SG = P4mm, No. 99
1.0
3.7079 0.0000 0.0000
0.0000 3.7079 0.0000
0.0000 0.0000 7.5723
In Y Al Pm
1 1 1 1
Direct
0.0000 0.0000 0.8474
0.5000 0.5000 0.5967
0.0000 0.0000 0.3662
0.5000 0.5000 0.1176

***

# 3
Pm2Al3Zn4In (PBE-GGA, relaxed); ΔE_f = -3.84 eV/f.u.; SG = P-4m2, No. 115
1.0
4.2923 0.0000 0.0000
0.0000 4.2923 0.0000
0.0000 0.0000 10.8593
Zn Al Pm In
4 3 2 1
Direct
0.0000 0.5000 0.3521
0.5000 0.0000 0.6479
0.0000 0.0000 0.0000
0.5000 0.5000 0.0000
0.0000 0.0000 0.5000
0.5000 0.0000 0.8718
0.0000 0.5000 0.1282
0.0000 0.5000 0.7586
0.5000 0.0000 0.2414
0.5000 0.5000 0.5000

***

# 4
Pm4AlZn2In (PBE-GGA, relaxed); ΔE_f = -2.95 eV/f.u.; SG = R-3m, No. 166
1.0
-1.8817 -1.5078 -4.6958
-2.5635 -4.5909 -0.4657
-8.9393 1.9581 -0.0136
Pm In Al Zn
4 1 1 2
Direct
0.1282 0.1282 0.6153
0.6218 0.6218 0.1345
0.8718 0.8718 0.3847
0.3782 0.3782 0.8655
0.0000 0.0000 0.0000
0.5000 0.5000 0.5000
0.2503 0.2503 0.2491
0.7497 0.7497 0.7509

***

Look up the ΔE_f of the second one. -1.76 eV/f.u.